No. 1
PaTePd2 | Alexandria | GGA-PBE | optimized geometry; excess energy over the best structure of this formula in the dataset = 2.48 eV per formula unit; spin magnetization = 1.086 Bohr magnetons per cell; N(E_F) = 3.103 states/eV per cell
1.0
4.258 0.000 0.000
2.129 3.688 0.000
2.129 1.229 7.354
Pa Te Pd
1 1 2
direct
0.500 0.500 0.500
0.000 0.000 0.000
0.610 0.610 0.171
0.390 0.390 0.829

No. 2
USb2AuN | Alexandria | GGA-PBE | optimized geometry; spin magnetization = 1.773 Bohr magnetons per cell; N(E_F) = 11.719 states/eV per cell; final energy = -34.03 eV per formula unit
1.0
3.940 0.000 0.000
0.000 3.940 0.000
0.000 0.000 14.500
U Sb Au N
2 4 2 2
direct
0.500 0.000 0.577
0.000 0.500 0.423
0.000 0.500 0.696
0.000 0.500 0.076
0.500 0.000 0.924
0.500 0.000 0.304
0.500 0.000 0.118
0.000 0.500 0.882
0.000 0.000 0.500
0.500 0.500 0.500

No. 3
MgH2Ru2 | Alexandria | GGA-PBE | optimized geometry; spin magnetization = 1.797 Bohr magnetons per cell; N(E_F) = 3.428 states/eV per cell; final energy = -26.27 eV per formula unit
1.0
3.202 0.000 0.000
0.000 3.202 0.000
1.601 1.601 5.040
Ru Mg H
2 1 2
direct
0.341 0.341 0.318
0.659 0.659 0.682
0.000 0.000 0.000
0.750 0.250 0.500
0.250 0.750 0.500

No. 4
K2CdCuBr6 | Alexandria | GGA-PBE | optimized geometry; spin magnetization = 2.072 Bohr magnetons per cell; N(E_F) = 1.131 states/eV per cell; final energy = -27.25 eV per formula unit
1.0
7.887 0.000 0.138
0.000 7.655 0.000
0.268 0.000 10.428
K Cd Cu Br
4 2 2 12
direct
0.008 0.952 0.253
0.508 0.548 0.753
0.992 0.048 0.747
0.492 0.452 0.247
0.500 0.000 0.000
0.000 0.500 0.500
0.500 0.000 0.500
0.000 0.500 0.000
0.308 0.731 0.044
0.808 0.769 0.544
0.692 0.269 0.956
0.192 0.231 0.456
0.316 0.742 0.453
0.816 0.758 0.953
0.684 0.258 0.547
0.184 0.242 0.047
0.912 0.528 0.229
0.412 0.972 0.729
0.088 0.472 0.771
0.588 0.028 0.271

No. 5
Pa2CuGe4Ir3 | Alexandria | GGA-PBE | optimized geometry; spin magnetization = 0.000 Bohr magnetons per cell; N(E_F) = 7.253 states/eV per cell; final energy = -73.82 eV per formula unit
1.0
4.213 0.000 0.000
0.000 4.213 0.000
0.000 0.000 10.103
Pa Cu Ge Ir
2 1 4 3
direct
0.500 0.000 0.252
0.000 0.500 0.748
0.500 0.500 0.500
0.500 0.500 0.000
0.000 0.000 0.000
0.500 0.000 0.630
0.000 0.500 0.370
0.000 0.000 0.500
0.500 0.000 0.869
0.000 0.500 0.131

No. 6
AlCr4CuSe8 | Alexandria | GGA-PBE | optimized geometry; spin magnetization = 11.974 Bohr magnetons per cell; N(E_F) = 5.855 states/eV per cell; final energy = -82.23 eV per formula unit
1.0
7.448 0.000 0.000
3.724 6.450 0.000
3.724 2.150 6.081
Al Cr Cu Se
1 4 1 8
direct
0.500 0.500 0.500
0.636 0.121 0.121
0.121 0.636 0.121
0.121 0.121 0.636
0.121 0.121 0.121
0.750 0.750 0.750
0.349 0.884 0.884
0.884 0.349 0.884
0.884 0.884 0.349
0.884 0.884 0.884
0.901 0.366 0.366
0.366 0.901 0.366
0.366 0.366 0.901
0.366 0.366 0.366

Among the records above, which one has the highest spin magnetization?
AlCr4CuSe8